Record 1
GdTiTlAg: relaxed, GGA-PBE.

final energy	-27.29	eV/cell
SG	F-43m, No. 216
size of the total moment	5.470	μB/cell
formation energy	-0.024	eV/atom

Unit cell a=5.0644 b=5.0644 c=5.0644 alpha=60.00 beta=60.00 gamma=60.00
Last column: magnetic moment on the atom in μB.
Element x y z (fractional)
Tl: 0.0000 0.0000 0.0000  -0.02
Gd: 0.7500 0.7500 0.7500  -6.93
Ag: 0.5000 0.5000 0.5000  0.01
Ti: 0.2500 0.2500 0.2500  1.23

Record 2
GdTiZnAg: relaxed, GGA-PBE.

final energy	-26.21	eV/cell
SG	F-43m, No. 216
size of the total moment	5.479	μB/cell
formation energy	-0.028	eV/atom

Unit cell a=4.8922 b=4.8922 c=4.8922 alpha=60.00 beta=60.00 gamma=60.00
Last column: magnetic moment on the atom in μB.
Element x y z (fractional)
Zn: 0.7500 0.7500 0.7500  -0.01
Gd: 0.0000 0.0000 0.0000  6.93
Ag: 0.2500 0.2500 0.2500  -0.03
Ti: 0.5000 0.5000 0.5000  -1.16

What did the second record say?
GdTiZnAg: relaxed, GGA-PBE.

final energy	-26.21	eV/cell
SG	F-43m, No. 216
size of the total moment	5.479	μB/cell
formation energy	-0.028	eV/atom

Unit cell a=4.8922 b=4.8922 c=4.8922 alpha=60.00 beta=60.00 gamma=60.00
Last column: magnetic moment on the atom in μB.
Element x y z (fractional)
Zn: 0.7500 0.7500 0.7500  -0.01
Gd: 0.0000 0.0000 0.0000  6.93
Ag: 0.2500 0.2500 0.2500  -0.03
Ti: 0.5000 0.5000 0.5000  -1.16

- What is the formula in the second record?
  GdTiZnAg